# Sr2LaTc

A relaxed structure of Sr2LaTc (PBEsol, the Alexandria database).

Calculated values
ΔE_f (eV per formula unit): 3.38
V (Å³ per cell): 123.8
E (eV per atom): -4.227
SG: R-3m (166)
Offset from the most stable computed form (meV/atom): 48

Unit cell a=3.515 b=3.515 c=11.747 alpha=81.40 beta=81.40 gamma=60.00
Last column: magnetic moment on the atom in μB.
Positions (direct):
1 Sr 0.232 0.232 0.305  0.00
2 Sr 0.768 0.768 0.695  0.00
3 Tc 0.500 0.500 0.500  0.89
4 La 0.000 0.000 0.000  0.04